No. 1
Below is crystalline CaB2Cl8 at its relaxed geometry, with properties calculated at the GGA-PBE level.

Computed properties:
As for the crystal system: monoclinic. The calculation puts the total magnetic moment at 0.000 μB/f.u. The value obtained for the density of states at the Fermi level is 0.00 states/eV/cell. Its total energy is -4.037 eV/atom. For the energy above the most stable polymorph in this dataset, the calculation gives 22 meV per atom. The uncorrected formation energy is -1.298 eV per atom.

abc: 7.7044 7.7044 5.8841
angles: 98.01 98.01 78.13
Sites, in units of the cell vectors:
1 Ca 0.0000 0.0000 0.0000
2 B 0.2032 0.2032 0.6669
3 B 0.7968 0.7968 0.3331
4 Cl 0.0324 0.7170 0.2528
5 Cl 0.1968 0.1968 0.3442
6 Cl 0.2830 0.9676 0.7472
7 Cl 0.3495 0.3495 0.8102
8 Cl 0.6505 0.6505 0.1898
9 Cl 0.7170 0.0324 0.2528
10 Cl 0.8032 0.8032 0.6558
11 Cl 0.9676 0.2830 0.7472



No. 2
Below is crystalline MgAgHgCl5 at its relaxed geometry, with properties calculated at the GGA-PBE level.

Computed properties:
As for the crystal system: monoclinic. The calculation puts the total magnetic moment at 0.000 μB/f.u. The value obtained for the density of states at the Fermi level is 0.00 states/eV/cell. Its total energy is -2.731 eV/atom. The uncorrected formation energy is -0.984 eV per atom.

abc: 7.2221 7.2221 9.8836
angles: 109.43 109.43 93.24
Sites, in units of the cell vectors:
1 Mg 0.0000 0.5000 0.0000
2 Mg 0.5000 0.0000 0.5000
3 Ag 0.0354 0.9646 0.7500
4 Ag 0.9646 0.0354 0.2500
5 Hg 0.4096 0.5904 0.7500
6 Hg 0.5904 0.4096 0.2500
7 Cl 0.1129 0.6667 0.8467
8 Cl 0.2064 0.7936 0.2500
9 Cl 0.2813 0.3047 0.0112
10 Cl 0.3047 0.2813 0.5112
11 Cl 0.3333 0.8871 0.6533
12 Cl 0.6667 0.1129 0.3467
13 Cl 0.6953 0.7187 0.4888
14 Cl 0.7187 0.6953 0.9888
15 Cl 0.7936 0.2064 0.7500
16 Cl 0.8871 0.3333 0.1533



No. 3
Below is crystalline BaNbZnTc2 at its relaxed geometry, with properties calculated at the GGA-PBE level.

Computed properties:
As for the crystal system: tetragonal. The calculation puts the total magnetic moment at 0.000 μB/f.u. The value obtained for the density of states at the Fermi level is 9.59 states/eV/cell. Its total energy is -5.333 eV/atom. As for the energy of formation: 1.466 eV/atom.

abc: 4.8253 4.8253 4.8467
angles: 90.00 90.00 90.00
Sites, in units of the cell vectors:
1 Ba 0.0000 0.0000 0.0000
2 Nb 0.5000 0.5000 0.0000
3 Zn 0.5000 0.5000 0.5000
4 Tc 0.0000 0.5000 0.5000
5 Tc 0.5000 0.0000 0.5000



No. 4
Below is crystalline Li7HoHg4 at its relaxed geometry, with properties calculated at the GGA-PBE level.

Computed properties:
As for the crystal system: monoclinic. The calculation puts the total magnetic moment at 0.000 μB/f.u. The value obtained for the density of states at the Fermi level is 4.86 states/eV/cell. Its total energy is -1.720 eV/atom. As for the energy of formation: -0.122 eV/atom.

abc: 7.4357 7.4357 8.6060
angles: 125.07 125.07 39.51
Sites, in units of the cell vectors:
1 Li 0.0000 0.0000 0.0000
2 Li 0.1982 0.1982 0.6520
3 Li 0.2901 0.2901 0.1226
4 Li 0.4395 0.4395 0.5801
5 Li 0.5605 0.5605 0.4199
6 Li 0.7099 0.7099 0.8774
7 Li 0.8018 0.8018 0.3480
8 Ho 0.5000 0.5000 0.0000
9 Hg 0.0586 0.0586 0.7648
10 Hg 0.1971 0.1971 0.3370
11 Hg 0.8029 0.8029 0.6630
12 Hg 0.9414 0.9414 0.2352



No. 5
Below is crystalline Nb2BIr2 at its relaxed geometry, with properties calculated at the GGA-PBE level.

Computed properties:
As for the crystal system: tetragonal. The calculation puts the total magnetic moment at 0.000 μB/f.u. The value obtained for the density of states at the Fermi level is 12.00 states/eV/cell. Its total energy is -8.687 eV/atom. As for the energy of formation: 0.221 eV/atom. For the energy above the most stable polymorph in this dataset, the calculation gives 0 meV per atom.

abc: 5.8836 5.8836 4.4934
angles: 90.00 90.00 90.00
Sites, in units of the cell vectors:
1 Nb 0.1647 0.3353 0.0000
2 Nb 0.3353 0.8353 0.0000
3 Nb 0.6647 0.1647 0.0000
4 Nb 0.8353 0.6647 0.0000
5 B 0.0000 0.0000 0.0000
6 B 0.5000 0.5000 0.0000
7 Ir 0.1585 0.6585 0.5000
8 Ir 0.3415 0.1585 0.5000
9 Ir 0.6585 0.8415 0.5000
10 Ir 0.8415 0.3415 0.5000



No. 6
Below is crystalline Y2Ho6Hg at its relaxed geometry, with properties calculated at the GGA-PBE level.

Computed properties:
As for the crystal system: orthorhombic. The calculation puts the total magnetic moment at 0.001 μB/f.u. The value obtained for the density of states at the Fermi level is 10.07 states/eV/cell. Its total energy is -4.528 eV/atom. As for the energy of formation: -0.006 eV/atom.

abc: 9.3930 9.3930 9.3930
angles: 158.34 114.73 69.65
Sites, in units of the cell vectors:
1 Y 0.1436 0.1436 0.0000
2 Y 0.8564 0.8564 0.0000
3 Ho 0.1595 0.8194 0.3402
4 Ho 0.2235 0.5000 0.7235
5 Ho 0.4792 0.8194 0.6598
6 Ho 0.5208 0.1806 0.3402
7 Ho 0.7765 0.5000 0.2765
8 Ho 0.8405 0.1806 0.6598
9 Hg 0.5000 0.0000 0.5000



Q: Which formula does entry 3 have?
A: BaNbZnTc2



What did the fifth record say?
Below is crystalline Nb2BIr2 at its relaxed geometry, with properties calculated at the GGA-PBE level.

Computed properties:
As for the crystal system: tetragonal. The calculation puts the total magnetic moment at 0.000 μB/f.u. The value obtained for the density of states at the Fermi level is 12.00 states/eV/cell. Its total energy is -8.687 eV/atom. As for the energy of formation: 0.221 eV/atom. For the energy above the most stable polymorph in this dataset, the calculation gives 0 meV per atom.

abc: 5.8836 5.8836 4.4934
angles: 90.00 90.00 90.00
Sites, in units of the cell vectors:
1 Nb 0.1647 0.3353 0.0000
2 Nb 0.3353 0.8353 0.0000
3 Nb 0.6647 0.1647 0.0000
4 Nb 0.8353 0.6647 0.0000
5 B 0.0000 0.0000 0.0000
6 B 0.5000 0.5000 0.0000
7 Ir 0.1585 0.6585 0.5000
8 Ir 0.3415 0.1585 0.5000
9 Ir 0.6585 0.8415 0.5000
10 Ir 0.8415 0.3415 0.5000



Q: What is the total magnetic moment in the third record?
A: 0.000 μB/f.u.